This record from the Alexandria database describes crystalline IrWN2O at its relaxed geometry. The functional is GGA-PBEsol.

a = 3.838 Å, b = 3.838 Å, c = 3.811 Å
α = 90.00°, β = 90.00°, γ = 90.00°
Last column: magnetic moment on the atom in μB.
Positions (direct):
N1 0.500 0.000 0.000  -0.11
Ir1 0.000 0.000 0.000  -0.06
N2 0.000 0.500 0.000  -0.11
W1 0.500 0.500 0.500  1.63
O1 0.000 0.000 0.500  -0.03

Summary:
Crystal system: tetragonal

***

This record from the Alexandria database describes crystalline IrWN2O at its relaxed geometry. The functional is GGA-PBEsol.

a = 3.734 Å, b = 3.967 Å, c = 3.967 Å
α = 90.00°, β = 90.00°, γ = 90.00°
Last column: magnetic moment on the atom in μB.
Positions (direct):
O1 0.500 0.000 0.000  0.12
Ir1 0.500 0.500 0.500  1.13
N1 0.000 0.000 0.500  0.02
W1 0.000 0.000 0.000  0.06
N2 0.000 0.500 0.000  0.02

Summary:
Crystal system: tetragonal

***

This record from the Alexandria database describes crystalline IrWNO2 at its relaxed geometry. The functional is GGA-PBEsol.

a = 3.812 Å, b = 3.812 Å, c = 4.043 Å
α = 90.00°, β = 90.00°, γ = 90.00°
Last column: magnetic moment on the atom in μB.
Positions (direct):
O1 0.500 0.000 0.000  0.11
O2 0.000 0.500 0.000  0.11
Ir1 0.500 0.500 0.500  1.82
N1 0.000 0.000 0.500  0.07
W1 0.000 0.000 0.000  0.03

Summary:
Crystal system: tetragonal

***

This record from the Alexandria database describes crystalline YIrN2O at its relaxed geometry. The functional is GGA-PBEsol.

a = 4.087 Å, b = 4.279 Å, c = 4.279 Å
α = 90.00°, β = 90.00°, γ = 90.00°
Last column: magnetic moment on the atom in μB.
Positions (direct):
Ir1 0.500 0.500 0.500  1.06
N1 0.000 0.500 0.000  0.45
N2 0.000 0.000 0.500  0.45
Y1 0.000 0.000 0.000  0.22
O1 0.500 0.000 0.000  0.53

Summary:
Crystal system: tetragonal

***

This record from the Alexandria database describes crystalline IrOsS2N at its relaxed geometry. The functional is GGA-PBEsol.

a = 3.576 Å, b = 4.654 Å, c = 4.654 Å
α = 90.00°, β = 90.00°, γ = 90.00°
Positions (direct):
S1 0.000 0.500 0.000
N1 0.500 0.000 0.000
Os1 0.000 0.000 0.000
Ir1 0.500 0.500 0.500
S2 0.000 0.000 0.500

Summary:
Crystal system: tetragonal

***

This record from the Alexandria database describes crystalline IrOsSe2N at its relaxed geometry. The functional is GGA-PBEsol.

a = 3.538 Å, b = 4.937 Å, c = 4.937 Å
α = 90.00°, β = 90.00°, γ = 90.00°
Last column: magnetic moment on the atom in μB.
Positions (direct):
Se1 0.000 0.500 0.000  0.00
N1 0.500 0.000 0.000  0.00
Os1 0.500 0.500 0.500  0.06
Se2 0.000 0.000 0.500  0.00
Ir1 0.000 0.000 0.000  0.00

Summary:
Crystal system: tetragonal

***

This record from the Alexandria database describes crystalline P3IrN at its relaxed geometry. The functional is GGA-PBEsol.

a = 3.906 Å, b = 3.906 Å, c = 3.906 Å
α = 90.00°, β = 90.00°, γ = 90.00°
Positions (direct):
N1 0.000 0.000 0.000
Ir1 0.500 0.500 0.500
P1 0.000 0.500 0.000
P2 0.000 0.000 0.500
P3 0.500 0.000 0.000

Summary:
Crystal system: cubic

***

This record from the Alexandria database describes crystalline PIrSN2 at its relaxed geometry. The functional is GGA-PBEsol.

a = 3.255 Å, b = 3.255 Å, c = 7.109 Å
α = 90.00°, β = 90.00°, γ = 90.00°
Positions (direct):
N1 0.500 0.000 0.000
P1 0.000 0.000 0.000
Ir1 0.500 0.500 0.500
S1 0.000 0.000 0.500
N2 0.000 0.500 0.000

Summary:
Crystal system: tetragonal

***

This record from the Alexandria database describes crystalline Ir3PbN at its relaxed geometry. The functional is GGA-PBEsol.

a = 4.187 Å, b = 4.187 Å, c = 4.187 Å
α = 90.00°, β = 90.00°, γ = 90.00°
Positions (direct):
N1 0.000 0.000 0.000
Ir1 0.500 0.000 0.000
Ir2 0.000 0.500 0.000
Pb1 0.500 0.500 0.500
Ir3 0.000 0.000 0.500

Summary:
Crystal system: cubic

***

This record from the Alexandria database describes crystalline IrPbSN2 at its relaxed geometry. The functional is GGA-PBEsol.

a = 4.068 Å, b = 4.068 Å, c = 5.396 Å
α = 90.00°, β = 90.00°, γ = 90.00°
Last column: magnetic moment on the atom in μB.
Positions (direct):
Ir1 0.500 0.500 0.500  1.60
Pb1 0.000 0.000 0.000  0.00
S1 0.000 0.000 0.500  0.10
N1 0.000 0.500 0.000  0.82
N2 0.500 0.000 0.000  0.82

Summary:
Crystal system: tetragonal

***

This record from the Alexandria database describes crystalline IrPd2N at its relaxed geometry. The functional is GGA-PBEsol.

a = 4.749 Å, b = 4.749 Å, c = 6.566 Å
α = 111.20°, β = 111.20°, γ = 90.00°
Positions (direct):
N1 0.750 0.250 0.500
Pd1 0.488 0.875 0.250
Pd2 0.625 0.512 0.750
Ir1 0.000 0.000 0.000
Pd3 0.125 0.238 0.750
N2 0.500 0.500 0.000
Ir2 0.250 0.750 0.500
Pd4 0.762 0.375 0.250

Summary:
Crystal system: tetragonal

***

This record from the Alexandria database describes crystalline IrPdN3 at its relaxed geometry. The functional is GGA-PBEsol.

a = 3.834 Å, b = 3.834 Å, c = 3.834 Å
α = 90.00°, β = 90.00°, γ = 90.00°
Last column: magnetic moment on the atom in μB.
Positions (direct):
N1 0.000 0.500 0.000  0.22
N2 0.500 0.000 0.000  0.22
N3 0.000 0.000 0.500  0.22
Ir1 0.000 0.000 0.000  -0.05
Pd1 0.500 0.500 0.500  0.26

Summary:
Crystal system: cubic

***

This record from the Alexandria database describes crystalline IrPdN3 at its relaxed geometry. The functional is GGA-PBEsol.

a = 3.812 Å, b = 3.812 Å, c = 3.812 Å
α = 90.00°, β = 90.00°, γ = 90.00°
Positions (direct):
N1 0.000 0.000 0.500
N2 0.500 0.000 0.000
Ir1 0.500 0.500 0.500
Pd1 0.000 0.000 0.000
N3 0.000 0.500 0.000

Summary:
Crystal system: cubic

***

This record from the Alexandria database describes crystalline IrPdSN2 at its relaxed geometry. The functional is GGA-PBEsol.

a = 3.684 Å, b = 3.684 Å, c = 5.057 Å
α = 90.00°, β = 90.00°, γ = 90.00°
Positions (direct):
Ir1 0.500 0.500 0.500
N1 0.000 0.500 0.000
S1 0.000 0.000 0.500
N2 0.500 0.000 0.000
Pd1 0.000 0.000 0.000

Summary:
Crystal system: tetragonal

***

This record from the Alexandria database describes crystalline IrPt3N at its relaxed geometry. The functional is GGA-PBEsol.

a = 4.788 Å, b = 4.788 Å, c = 4.788 Å
α = 90.00°, β = 90.00°, γ = 90.00°
Last column: magnetic moment on the atom in μB.
Positions (direct):
Pt1 0.500 0.000 0.000  0.08
Pt2 0.000 0.500 0.000  0.08
Pt3 0.000 0.000 0.500  0.08
Ir1 0.000 0.000 0.000  0.21
N1 0.500 0.500 0.500  1.70

Summary:
Crystal system: cubic

***

This record from the Alexandria database describes crystalline Rb2IrN at its relaxed geometry. The functional is GGA-PBEsol.

a = 3.713 Å, b = 8.704 Å, c = 8.704 Å
α = 87.39°, β = 77.68°, γ = 77.68°
Positions (direct):
N1 0.500 0.000 0.000
Ir1 0.750 0.500 0.500
Rb1 0.391 0.234 0.734
Ir2 0.000 0.000 0.000
Rb2 0.359 0.766 0.266
Rb3 0.375 0.266 0.234
Rb4 0.875 0.734 0.766
N2 0.250 0.500 0.500

Summary:
Crystal system: tetragonal

***

This record from the Alexandria database describes crystalline Rb3IrN at its relaxed geometry. The functional is GGA-PBEsol.

a = 6.106 Å, b = 6.106 Å, c = 6.106 Å
α = 90.00°, β = 90.00°, γ = 90.00°
Last column: magnetic moment on the atom in μB.
Positions (direct):
Rb1 0.000 0.500 0.000  0.01
Ir1 0.000 0.000 0.000  0.87
N1 0.500 0.500 0.500  1.40
Rb2 0.500 0.000 0.000  0.01
Rb3 0.000 0.000 0.500  0.01

Summary:
Crystal system: cubic

***

This record from the Alexandria database describes crystalline ReTe2IrN at its relaxed geometry. The functional is GGA-PBEsol.

a = 3.579 Å, b = 5.276 Å, c = 5.276 Å
α = 90.00°, β = 90.00°, γ = 90.00°
Last column: magnetic moment on the atom in μB.
Positions (direct):
Te1 0.000 0.000 0.500  -0.06
Ir1 0.000 0.000 0.000  0.00
N1 0.500 0.000 0.000  0.00
Re1 0.500 0.500 0.500  1.72
Te2 0.000 0.500 0.000  -0.06

Summary:
Crystal system: tetragonal
Energy relative to the lowest polymorph listed for this composition in eV/f.u.: 1.42

***

This record from the Alexandria database describes crystalline ReTe2IrN at its relaxed geometry. The functional is GGA-PBEsol.

a = 3.641 Å, b = 5.190 Å, c = 5.190 Å
α = 90.00°, β = 90.00°, γ = 90.00°
Positions (direct):
N1 0.500 0.000 0.000
Te1 0.000 0.500 0.000
Ir1 0.500 0.500 0.500
Te2 0.000 0.000 0.500
Re1 0.000 0.000 0.000

Summary:
Crystal system: tetragonal
Energy relative to the lowest polymorph listed for this composition in eV/f.u.: 0.00

***

This record from the Alexandria database describes crystalline IrRhN3 at its relaxed geometry. The functional is GGA-PBEsol.

a = 3.782 Å, b = 3.782 Å, c = 3.782 Å
α = 90.00°, β = 90.00°, γ = 90.00°
Positions (direct):
N1 0.000 0.000 0.500
Ir1 0.500 0.500 0.500
N2 0.000 0.500 0.000
Rh1 0.000 0.000 0.000
N3 0.500 0.000 0.000

Summary:
Crystal system: cubic

***

Uncorrected formation energy (computed, meV per atom): 1294 619 90 1371 1022 1201 624 891 796 2427 1188 1484 2328 1818 2597 -14 1541 1096 811 1921